1.
DyBeZnAu3 | PBE-GGA | optimized geometry

Cell: 6.942 6.942 5.754 Å, 90.00 90.00 125.04°
Positions (direct):
Dy 0.219 0.781 0.750
Dy 0.781 0.219 0.250
Be 0.466 0.534 0.750
Be 0.534 0.466 0.250
Zn 0.137 0.863 0.250
Zn 0.863 0.137 0.750
Au 0.224 0.224 0.000
Au 0.224 0.224 0.500
Au 0.338 0.662 0.250
Au 0.662 0.338 0.750
Au 0.776 0.776 0.000
Au 0.776 0.776 0.500

Results
- total moment (μB/f.u.) = 0.0
- ΔH_f (0 K) (eV/atom) = -0.32

=====

2.
Rb2MgW | PBE-GGA | optimized geometry

Cell: 9.659 9.659 9.659 Å, 94.82 94.82 146.30°
Positions (direct):
Rb 0.375 0.223 0.348
Rb 0.777 0.125 0.152
Rb 0.875 0.027 0.652
Rb 0.973 0.625 0.848
Mg 0.250 0.750 0.500
Mg 0.500 0.500 0.000
W 0.000 0.000 0.000
W 0.750 0.250 0.500

Results
- total moment (μB/f.u.) = 4.2
- ΔH_f (0 K) (eV/atom) = 1.58

=====

3.
Pm2NdDy | PBE-GGA | optimized geometry

Cell: 5.777 5.777 5.777 Å, 60.00 60.00 60.00°
Positions (direct):
Pm 0.250 0.250 0.250
Pm 0.750 0.750 0.750
Nd 0.000 0.000 0.000
Dy 0.500 0.500 0.500

Results
- total moment (μB/f.u.) = 0.0
- ΔH_f (0 K) (eV/atom) = 0.14

=====

4.
MgBe4Sb | PBE-GGA | optimized geometry

Cell: 4.825 4.825 4.825 Å, 60.00 60.00 60.00°
Positions (direct):
Mg 0.000 0.000 0.000
Be 0.370 0.370 0.370
Be 0.370 0.370 0.890
Be 0.370 0.890 0.370
Be 0.890 0.370 0.370
Sb 0.750 0.750 0.750

Results
- total moment (μB/f.u.) = 0.0
- formation energy from raw total energies (eV per atom) = 0.38

=====

5.
AcNdTmHg | PBE-GGA | optimized geometry

Cell: 5.617 5.617 5.617 Å, 60.00 60.00 60.00°
Positions (direct):
Ac 0.000 0.000 0.000
Nd 0.250 0.250 0.250
Tm 0.750 0.750 0.750
Hg 0.500 0.500 0.500

Results
- total moment (μB/f.u.) = 0.0
- ΔH_f (0 K) (eV/atom) = 0.05

=====

6.
TbNpSi4 | PBE-GGA | optimized geometry

Cell: 8.187 14.579 3.859 Å, 90.00 90.00 90.00°
Positions (direct):
Tb 0.078 0.142 0.000
Tb 0.422 0.642 0.000
Tb 0.578 0.358 0.000
Tb 0.922 0.858 0.000
Np 0.092 0.436 0.000
Np 0.408 0.936 0.000
Np 0.592 0.064 0.000
Np 0.908 0.564 0.000
Si 0.005 0.708 0.500
Si 0.131 0.965 0.500
Si 0.166 0.576 0.500
Si 0.224 0.813 0.500
Si 0.276 0.313 0.500
Si 0.334 0.076 0.500
Si 0.369 0.465 0.500
Si 0.495 0.208 0.500
Si 0.505 0.792 0.500
Si 0.631 0.535 0.500
Si 0.666 0.924 0.500
Si 0.724 0.687 0.500
Si 0.776 0.187 0.500
Si 0.834 0.424 0.500
Si 0.869 0.035 0.500
Si 0.995 0.292 0.500

Results
- total moment (μB/f.u.) = 1.3
- formation energy from raw total energies (eV per atom) = -0.28